Record 1
LaGa8Pd2: relaxed, PBE-GGA.

## Properties
- DFT formation energy: -0.143 eV/atom
- SG: P4/mmm, No. 123

Lattice parameters (Å, degrees): 5.596 5.596 8.420 90.00 90.00 90.00
Sites, in units of the cell vectors:
La1 0.000 0.000 0.000
Ga1 0.253 0.253 0.296
Ga2 0.253 0.253 0.704
Ga3 0.253 0.747 0.296
Ga4 0.253 0.747 0.704
Ga5 0.747 0.253 0.296
Ga6 0.747 0.253 0.704
Ga7 0.747 0.747 0.296
Ga8 0.747 0.747 0.704
Pd1 0.000 0.500 0.500
Pd2 0.500 0.000 0.500


Record 2
La3Ga2Pd: relaxed, PBE-GGA.

## Properties
- DFT formation energy: -0.646 eV/atom
- SG: Pnma, No. 62

Lattice parameters (Å, degrees): 12.603 4.689 10.985 90.00 90.00 90.00
Sites, in units of the cell vectors:
La1 0.047 0.250 0.108
La2 0.118 0.750 0.559
La3 0.230 0.250 0.801
La4 0.270 0.750 0.301
La5 0.382 0.250 0.059
La6 0.453 0.750 0.608
La7 0.547 0.250 0.392
La8 0.618 0.750 0.941
La9 0.730 0.250 0.699
La10 0.770 0.750 0.199
La11 0.882 0.250 0.441
La12 0.953 0.750 0.892
Ga1 0.013 0.750 0.292
Ga2 0.203 0.750 0.005
Ga3 0.297 0.250 0.505
Ga4 0.487 0.250 0.792
Ga5 0.513 0.750 0.208
Ga6 0.703 0.750 0.495
Ga7 0.797 0.250 0.995
Ga8 0.987 0.250 0.708
Pd1 0.114 0.250 0.368
Pd2 0.386 0.750 0.868
Pd3 0.614 0.250 0.132
Pd4 0.886 0.750 0.632


Record 3
LaGa5Pd7: relaxed, PBE-GGA.

## Properties
- DFT formation energy: -0.638 eV/atom
- SG: Imm2, No. 44

Lattice parameters (Å, degrees): 6.890 6.890 6.890 133.98 97.11 100.48
Sites, in units of the cell vectors:
La1 0.000 0.000 0.000
Ga1 0.001 0.497 0.013
Ga2 0.001 0.988 0.504
Ga3 0.484 0.497 0.496
Ga4 0.484 0.988 0.987
Ga5 0.769 0.269 0.500
Pd1 0.198 0.485 0.713
Pd2 0.222 0.722 0.500
Pd3 0.340 0.340 0.000
Pd4 0.347 0.005 0.342
Pd5 0.662 0.662 0.000
Pd6 0.663 0.005 0.658
Pd7 0.772 0.485 0.287


Record 4
La3Ga2Pd6: relaxed, PBE-GGA.

## Properties
- DFT formation energy: -0.825 eV/atom
- SG: Im-3m, No. 229

Lattice parameters (Å, degrees): 8.386 8.386 8.386 109.47 109.47 109.47
Sites, in units of the cell vectors:
La1 0.000 0.291 0.291
La2 0.000 0.709 0.709
La3 0.291 0.000 0.291
La4 0.291 0.291 0.000
La5 0.709 0.000 0.709
La6 0.709 0.709 0.000
Ga1 0.000 0.000 0.500
Ga2 0.000 0.500 0.000
Ga3 0.500 0.000 0.000
Ga4 0.500 0.500 0.500
Pd1 0.000 0.333 0.667
Pd2 0.000 0.667 0.333
Pd3 0.333 0.000 0.667
Pd4 0.333 0.333 0.666
Pd5 0.333 0.666 0.333
Pd6 0.333 0.667 0.000
Pd7 0.334 0.667 0.667
Pd8 0.666 0.333 0.333
Pd9 0.667 0.000 0.333
Pd10 0.667 0.333 0.000
Pd11 0.667 0.334 0.667
Pd12 0.667 0.667 0.334


Record 5
La6Ga3Pd: relaxed, PBE-GGA.

## Properties
- DFT formation energy: -0.458 eV/atom
- SG: Pnnm, No. 58

Lattice parameters (Å, degrees): 9.458 11.494 5.372 90.00 90.00 90.00
Sites, in units of the cell vectors:
La1 0.003 0.244 0.000
La2 0.165 0.552 0.500
La3 0.168 0.940 0.500
La4 0.332 0.440 0.000
La5 0.335 0.052 0.000
La6 0.497 0.744 0.500
La7 0.503 0.256 0.500
La8 0.665 0.948 0.000
La9 0.668 0.560 0.000
La10 0.832 0.060 0.500
La11 0.835 0.448 0.500
La12 0.997 0.756 0.000
Ga1 0.000 0.500 0.000
Ga2 0.171 0.250 0.500
Ga3 0.329 0.750 0.000
Ga4 0.500 0.000 0.500
Ga5 0.671 0.250 0.000
Ga6 0.829 0.750 0.500
Pd1 0.000 0.000 0.000
Pd2 0.500 0.500 0.500


Record 6
La5Ga4Pd: relaxed, PBE-GGA.

## Properties
- DFT formation energy: -0.602 eV/atom
- SG: P4/mmm, No. 123

Lattice parameters (Å, degrees): 3.759 3.759 18.685 90.00 90.00 90.00
Sites, in units of the cell vectors:
La1 0.000 0.000 0.000
La2 0.000 0.000 0.202
La3 0.000 0.000 0.404
La4 0.000 0.000 0.596
La5 0.000 0.000 0.798
Ga1 0.500 0.500 0.101
Ga2 0.500 0.500 0.302
Ga3 0.500 0.500 0.698
Ga4 0.500 0.500 0.899
Pd1 0.500 0.500 0.500


Record 7
LaGa3Pd10: relaxed, PBE-GGA.

## Properties
- DFT formation energy: -0.545 eV/atom
- SG: Fm-3m, No. 225

Lattice parameters (Å, degrees): 8.853 8.853 8.853 60.00 60.00 60.00
Sites, in units of the cell vectors:
La1 0.250 0.250 0.250
La2 0.750 0.750 0.750
Ga1 0.231 0.231 0.769
Ga2 0.231 0.769 0.231
Ga3 0.231 0.769 0.769
Ga4 0.769 0.231 0.231
Ga5 0.769 0.231 0.769
Ga6 0.769 0.769 0.231
Pd1 0.119 0.119 0.119
Pd2 0.119 0.119 0.644
Pd3 0.119 0.644 0.119
Pd4 0.155 0.500 0.500
Pd5 0.155 0.500 0.845
Pd6 0.155 0.845 0.500
Pd7 0.356 0.881 0.881
Pd8 0.500 0.155 0.500
Pd9 0.500 0.155 0.845
Pd10 0.500 0.500 0.155
Pd11 0.500 0.500 0.845
Pd12 0.500 0.845 0.155
Pd13 0.500 0.845 0.500
Pd14 0.644 0.119 0.119
Pd15 0.845 0.155 0.500
Pd16 0.845 0.500 0.155
Pd17 0.845 0.500 0.500
Pd18 0.881 0.356 0.881
Pd19 0.881 0.881 0.356
Pd20 0.881 0.881 0.881


Record 8
La2Ga2Pd: relaxed, PBE-GGA.

## Properties
- DFT formation energy: -0.723 eV/atom
- SG: C2/m, No. 12

Lattice parameters (Å, degrees): 5.842 5.842 11.240 115.75 115.75 46.67
Sites, in units of the cell vectors:
La1 0.020 0.020 0.333
La2 0.195 0.195 0.117
La3 0.805 0.805 0.883
La4 0.980 0.980 0.667
Ga1 0.358 0.358 0.441
Ga2 0.485 0.485 0.110
Ga3 0.515 0.515 0.890
Ga4 0.642 0.642 0.559
Pd1 0.268 0.268 0.657
Pd2 0.732 0.732 0.343


Record 9
LaGaPd4: relaxed, PBE-GGA.

## Properties
- DFT formation energy: -0.713 eV/atom
- SG: Pmma, No. 51

Lattice parameters (Å, degrees): 7.779 4.030 7.085 90.00 90.00 90.00
Sites, in units of the cell vectors:
La1 0.250 0.000 0.149
La2 0.750 0.000 0.851
Ga1 0.250 0.000 0.714
Ga2 0.750 0.000 0.286
Pd1 0.000 0.000 0.500
Pd2 0.052 0.500 0.804
Pd3 0.250 0.500 0.458
Pd4 0.448 0.500 0.804
Pd5 0.500 0.000 0.500
Pd6 0.552 0.500 0.196
Pd7 0.750 0.500 0.542
Pd8 0.948 0.500 0.196


Record 10
LaGa2Pd: relaxed, PBE-GGA.

## Properties
- DFT formation energy: -0.503 eV/atom
- SG: I-42d, No. 122

Lattice parameters (Å, degrees): 9.487 9.487 9.487 151.43 151.43 40.84
Sites, in units of the cell vectors:
La1 0.000 0.000 0.000
La2 0.750 0.250 0.500
Ga1 0.290 0.625 0.165
Ga2 0.375 0.540 0.665
Ga3 0.460 0.125 0.835
Ga4 0.875 0.710 0.335
Pd1 0.250 0.750 0.500
Pd2 0.500 0.500 0.000


Record 11
La3Ga6Pd20: relaxed, PBE-GGA.

## Properties
- DFT formation energy: -0.672 eV/atom
- SG: Fm-3m, No. 225

Lattice parameters (Å, degrees): 8.927 8.927 8.927 60.00 60.00 60.00
Sites, in units of the cell vectors:
La1 0.000 0.000 0.000
La2 0.250 0.250 0.250
La3 0.750 0.750 0.750
Ga1 0.272 0.272 0.728
Ga2 0.272 0.728 0.272
Ga3 0.272 0.728 0.728
Ga4 0.728 0.272 0.272
Ga5 0.728 0.272 0.728
Ga6 0.728 0.728 0.272
Pd1 0.000 0.000 0.346
Pd2 0.000 0.000 0.654
Pd3 0.000 0.346 0.000
Pd4 0.000 0.346 0.654
Pd5 0.000 0.654 0.000
Pd6 0.000 0.654 0.346
Pd7 0.144 0.619 0.619
Pd8 0.346 0.000 0.000
Pd9 0.346 0.000 0.654
Pd10 0.346 0.654 0.000
Pd11 0.381 0.381 0.381
Pd12 0.381 0.381 0.856
Pd13 0.381 0.856 0.381
Pd14 0.619 0.144 0.619
Pd15 0.619 0.619 0.144
Pd16 0.619 0.619 0.619
Pd17 0.654 0.000 0.000
Pd18 0.654 0.000 0.346
Pd19 0.654 0.346 0.000
Pd20 0.856 0.381 0.381


Record 12
LaPmGaPd: relaxed, PBE-GGA.

## Properties
- DFT formation energy: -0.672 eV/atom
- SG: Amm2, No. 38

Lattice parameters (Å, degrees): 4.503 5.716 5.716 44.99 90.00 90.00
Sites, in units of the cell vectors:
La1 0.000 0.000 0.000
Pm1 0.500 0.285 0.285
Ga1 0.500 0.577 0.577
Pd1 0.000 0.719 0.719


| no. | calculated total energy (eV/cell) | M_tot (μB per cell) | calculated volume (Å³/atom) |
| --- | --- | --- | --- |
| 1 | -41.1 | 0.000 | 23.97 |
| 2 | -119.6 | 0.000 | 27.05 |
| 3 | -64.7 | 0.000 | 16.65 |
| 4 | -122.1 | 0.001 | 20.64 |
| 5 | -96.8 | 0.000 | 29.20 |
| 6 | -48.0 | 0.000 | 26.40 |
| 7 | -147.1 | 0.000 | 17.52 |
| 8 | -49.4 | 0.000 | 24.58 |
| 9 | -66.0 | 0.000 | 18.51 |
| 10 | -36.4 | 0.000 | 24.36 |
| 11 | -156.3 | 0.000 | 17.34 |
| 12 | -20.6 | 0.000 | 26.00 |